Version w
NbSnSe | PBE | optimized geometry

a = 3.3641 Å, b = 3.3641 Å, c = 6.6698 Å
α = 90.00°, β = 90.00°, γ = 120.00°
Last column: nearest neighbours and their distance in Å.
Element x y z (fractional)
Nb1 0.6667 0.3333 0.3622  3 Se 2.58
Sn1 0.0000 0.0000 0.0205  3 Nb 2.99, 3 Se 3.32
Se1 0.3333 0.6667 0.6173  3 Nb 2.58

Calculated volume, Å³/cell: 65.4

Version x
NbSnSe | PBE | optimized geometry

a = 6.2779 Å, b = 5.8214 Å, c = 7.6252 Å
α = 90.00°, β = 99.26°, γ = 90.00°
Last column: nearest neighbours and their distance in Å.
Element x y z (fractional)
Nb1 0.5294 0.3763 0.1773  3 Se 2.52-2.59
Nb2 0.4706 0.6237 0.8227  3 Se 2.52-2.59
Nb3 0.0294 0.1237 0.6773  3 Se 2.52-2.59
Nb4 0.9706 0.8763 0.3227  3 Se 2.52-2.59
Se1 0.1860 0.3877 0.9385  3 Nb 2.52-2.59
Se2 0.8140 0.6123 0.0615  3 Nb 2.52-2.59
Se3 0.3140 0.8877 0.5615  3 Nb 2.52-2.59
Se4 0.6860 0.1123 0.4385  3 Nb 2.52-2.59
Sn1 0.2954 0.9218 0.0766  3 Nb 2.94-3.06, 1 Se 2.95, 1 Sn 3.12
Sn2 0.7954 0.5782 0.5766  3 Nb 2.94-3.06, 1 Se 2.95, 1 Sn 3.12
Sn3 0.7046 0.0782 0.9234  3 Nb 2.94-3.06, 1 Se 2.95, 1 Sn 3.12
Sn4 0.2046 0.4218 0.4234  3 Nb 2.94-3.06, 1 Se 2.95, 1 Sn 3.12

Calculated volume, Å³/cell: 275.0

The structure with the most favorable energy is version w; the runner-up is 204 meV/atom above it.